Computed, not measured: a geometry-optimized Ta2Be2Ge structure at the PBE level of DFT.

Unit cell a=6.0345 b=6.0345 c=3.6163 alpha=90.00 beta=90.00 gamma=90.00
Closest atoms and distances in Å follow each position.
Space group P4/mbm (No. 127)
Asymmetric unit:
Ta 0.1786 0.3214 0.0000 x4  6 Be 2.51-2.57
Be 0.1176 0.6176 0.5000 x4  1 Be 2.01
Ge 0.0000 0.0000 0.5000 x2  4 Be 2.41



Computed, not measured: a geometry-optimized TaTiBeGe structure at the PBE level of DFT.

Unit cell a=3.5210 b=3.4714 c=9.4942 alpha=90.00 beta=90.00 gamma=90.00
Closest atoms and distances in Å follow each position.
Space group Amm2 (No. 38)
Asymmetric unit:
Ta 0.0000 0.0000 0.0000 x2  4 Be 2.57, 3 Ge 2.66-2.71
Ti 0.5000 0.0000 0.6914 x2  1 Be 2.50, 4 Ge 2.61
Be 0.5000 0.0000 0.4276 x2  2 Ge 2.25, 1 Ti 2.50
Ge 0.0000 0.0000 0.2804 x2  2 Be 2.25



Computed, not measured: a geometry-optimized ZrTaBe2Ge structure at the PBE level of DFT.

Unit cell a=4.5331 b=4.5331 c=5.0258 alpha=90.00 beta=90.00 gamma=90.00
Closest atoms and distances in Å follow each position.
Space group P4/mmm (No. 123)
Asymmetric unit:
Zr 0.0000 0.0000 0.0000 x1  2 Ta 2.51
Ta 0.0000 0.0000 0.5000 x1  4 Be 2.27, 2 Zr 2.51
Be 0.0000 0.5000 0.5000 x2  2 Ta 2.27
Ge 0.5000 0.5000 0.0000 x1  4 Zr 3.21, 8 Be 3.38



Number 1: formation enthalpy at 0 K -0.18 eV per atom. Number 2: formation enthalpy at 0 K -0.44 eV per atom. Number 3: formation enthalpy at 0 K 1.23 eV per atom.